A plane-wave DFT calculation with PBE was carried out for a relaxed structure of Ac2Nd5Tm2.

Computed properties:
Volume in Å³/atom: 36.02
DOS at the Fermi energy in states/eV per cell: 29.9
Energy relative to the elements in eV per atom: 0.040

Cell lengths 15.7744, 5.2207, 8.3008 Å; angles 90.00, 108.48, 90.00 degrees
Last column: nearest neighbours and their distance in Å.
Space group C2/m (No. 12)
Inequivalent atoms, fractional coordinates:
Ac: 0.1111 0.0000 0.1689  7 Nd 3.70-3.74, 4 Tm 3.73, 1 Ac 3.73
Nd: 0.0000 0.0000 0.5000  6 Nd 3.68, 4 Tm 3.69, 2 Ac 3.70
Nd: 0.1649 0.5000 0.5055  2 Tm 3.61-3.72, 7 Nd 3.67-3.81, 3 Ac 3.71-3.72
Nd: 0.2191 0.0000 0.8328  3 Tm 3.65-3.74, 6 Nd 3.67-3.81, 3 Ac 3.70-3.74
Tm: 0.0573 0.5000 0.8304  7 Nd 3.61-3.74, 4 Ac 3.73, 1 Tm 3.80